# Ce4CoBi

A relaxed Ce4CoBi crystal (PBE, Alexandria via LeMat-Bulk).

As for the formation energy: -178 kJ/mol of formula units. The total magnetization comes out at 3.35 μB per formula unit.

Lattice parameters (Å, degrees): 8.991 8.991 5.862 107.83 107.83 43.99
Fractional positions:
Ce 0.102 0.665 0.378
Ce 0.227 0.773 0.000
Ce 0.306 0.306 0.804
Ce 0.335 0.898 0.622
Ce 0.665 0.102 0.378
Ce 0.694 0.694 0.196
Ce 0.773 0.227 0.000
Ce 0.898 0.335 0.622
Co 0.469 0.469 0.669
Co 0.531 0.531 0.331
Bi 0.195 0.195 0.199
Bi 0.805 0.805 0.801